[1]
A relaxed MnAg crystal. Source: Alexandria, functional PBE.

## Properties
* symmetry: Imm2 (44)
* total magnetization: 4.0 μB per formula unit
* energy: -5.562 eV/atom
* formation enthalpy at 0 K: 448 meV per atom

abc: 12.969 2.845 5.580
angles: 90.00 90.00 90.00
Each line ends with the local moment (μB).
Fractional positions:
Mn: 0.345 0.000 0.166  3.81
Mn: 0.655 0.000 0.166  3.81
Mn: 0.845 0.500 0.666  3.81
Mn: 0.155 0.500 0.666  3.81
Mn: 0.000 0.000 0.413  3.64
Mn: 0.500 0.500 0.913  3.64
Ag: 0.338 0.000 0.673  0.06
Ag: 0.662 0.000 0.673  0.06
Ag: 0.838 0.500 0.173  0.06
Ag: 0.162 0.500 0.173  0.06
Ag: 0.000 0.000 0.910  0.04
Ag: 0.500 0.500 0.410  0.04


[2]
A relaxed CaTbCePm crystal. Source: Alexandria, functional PBE.

## Properties
* symmetry: F-43m (216)
* total magnetization: 2.2 μB per formula unit
* energy: -4.088 eV/atom
* formation enthalpy at 0 K: 241 meV per atom

abc: 5.806 5.806 5.806
angles: 60.00 60.00 60.00
Each line ends with the local moment (μB).
Fractional positions:
Ca: 0.250 0.250 0.250  0.03
Tb: 0.000 0.000 0.000  0.21
Ce: 0.750 0.750 0.750  1.06
Pm: 0.500 0.500 0.500  0.19


[3]
A relaxed NbCrWBr2 crystal. Source: Alexandria, functional PBE.

## Properties
* E_form (uncorrected): 690 kJ/mol of formula units
* symmetry: P4/mmm (123)
* total magnetization: 3.9 μB per formula unit
* energy: -5.767 eV/atom

abc: 4.986 5.190 4.986
angles: 90.00 90.00 90.00
Each line ends with the local moment (μB).
Fractional positions:
Cr: 0.500 0.500 0.500  -4.16
Nb: 0.000 0.500 0.000  1.28
Br: 0.000 0.000 0.500  -0.01
Br: 0.500 0.000 0.000  -0.04
W: 0.000 0.000 0.000  -0.51


[4]
A relaxed Sm2PtO4 crystal. Source: Alexandria, functional PBE.

## Properties
* E_form (uncorrected): -1732 kJ/mol of formula units
* symmetry: Cmce (64)
* total magnetization: 0.0 μB per formula unit
* energy: -7.610 eV/atom

abc: 5.656 5.659 6.939
angles: 114.06 90.00 90.00
Fractional positions:
Sm: 0.000 0.659 0.317
Sm: 0.000 0.341 0.683
Sm: 0.500 0.841 0.683
Sm: 0.500 0.159 0.317
Pt: 0.000 0.000 0.000
Pt: 0.500 0.500 0.000
O: 0.822 0.678 0.000
O: 0.750 0.509 0.500
O: 0.750 0.009 0.500
O: 0.678 0.178 0.000
O: 0.322 0.822 0.000
O: 0.250 0.991 0.500
O: 0.250 0.491 0.500
O: 0.178 0.322 0.000


[5]
A relaxed SiAs2P crystal. Source: Alexandria, functional PBE.

## Properties
* offset from the most stable computed form: 0.025 eV per atom
* E_form (uncorrected): 51 kJ/mol of formula units
* symmetry: Pm (6)
* total magnetization: 0.0 μB per formula unit
* energy: -4.901 eV/atom

abc: 3.616 4.595 5.044
angles: 70.93 90.00 90.00
Fractional positions:
As: 0.000 0.030 0.982
As: 0.500 0.215 0.249
P: 0.000 0.493 0.589
Si: 0.500 0.762 0.680


[6]
A relaxed BTeHRhAu crystal. Source: Alexandria, functional PBE.

## Properties
* offset from the most stable computed form: 0.000 eV per atom
* symmetry: Cm (8)
* total magnetization: 0.0 μB per formula unit
* energy: -4.687 eV/atom

abc: 6.889 3.102 7.951
angles: 90.00 98.93 90.00
Fractional positions:
B: 0.925 0.000 0.415
B: 0.925 0.500 0.915
Te: 0.562 0.000 0.000
Te: 0.562 0.500 0.500
H: 0.942 0.000 0.580
H: 0.942 0.500 0.080
Rh: 0.789 0.000 0.763
Rh: 0.789 0.500 0.263
Au: 0.172 0.000 0.904
Au: 0.172 0.500 0.404


[7]
A relaxed K2BaNp2S7 crystal. Source: Alexandria, functional PBE.

## Properties
* E_form (uncorrected): -1575 kJ/mol of formula units
* symmetry: I4/mmm (139)
* total magnetization: 4.0 μB per formula unit
* energy: -6.268 eV/atom

abc: 5.186 5.186 13.648
angles: 79.03 79.03 90.00
Each line ends with the local moment (μB).
Fractional positions:
K: 0.815 0.815 0.370  0.00
K: 0.185 0.185 0.630  0.00
Ba: 0.000 0.000 0.000  0.00
Np: 0.599 0.599 0.802  2.54
Np: 0.401 0.401 0.198  2.54
S: 0.500 0.500 0.000  -0.12
S: 0.307 0.307 0.385  -0.14
S: 0.693 0.693 0.615  -0.14
S: 0.909 0.408 0.183  -0.12
S: 0.408 0.909 0.183  -0.12
S: 0.592 0.091 0.817  -0.12
S: 0.091 0.592 0.817  -0.12


[8]
A relaxed K2AgSb crystal. Source: Alexandria, functional PBE.

## Properties
* E_form (uncorrected): -122 kJ/mol of formula units
* symmetry: Imm2 (44)
* total magnetization: 0.0 μB per formula unit
* energy: -2.609 eV/atom

abc: 6.188 6.188 6.188
angles: 132.67 121.73 78.24
Fractional positions:
Sb: 0.431 0.431 0.000
K: 0.026 0.026 0.000
K: 0.717 0.217 0.500
Ag: 0.326 0.826 0.500


[9]
A relaxed Ce2YTm3Se6 crystal. Source: Alexandria, functional PBE.

## Properties
* E_form (uncorrected): -2019 kJ/mol of formula units
* symmetry: C2/m (12)
* total magnetization: 2.3 μB per formula unit
* energy: -6.131 eV/atom

abc: 4.049 8.277 9.189
angles: 104.24 102.73 90.00
Each line ends with the local moment (μB).
Fractional positions:
Ce: 0.832 0.664 0.665  0.88
Ce: 0.168 0.336 0.335  0.88
Y: 0.500 0.000 0.000  0.04
Tm: 0.500 0.500 0.000  0.01
Tm: 0.832 0.167 0.665  0.01
Tm: 0.168 0.833 0.335  0.01
Se: 0.333 0.928 0.665  0.00
Se: 0.662 0.593 0.324  -0.01
Se: 0.667 0.072 0.335  0.00
Se: 0.996 0.252 0.992  0.00
Se: 0.004 0.748 0.008  0.00
Se: 0.338 0.407 0.676  -0.01


[10]
A relaxed OsWBr2 crystal. Source: Alexandria, functional PBE.

## Properties
* offset from the most stable computed form: 0.480 eV per atom
* E_form (uncorrected): 266 kJ/mol of formula units
* symmetry: Cm (8)
* total magnetization: 0.0 μB per formula unit
* energy: -6.193 eV/atom

abc: 5.440 5.440 7.009
angles: 67.93 67.93 34.58
Fractional positions:
Os: 0.442 0.442 0.626
Br: 0.067 0.067 0.895
Br: 0.211 0.211 0.355
W: 0.780 0.780 0.625


[11]
A relaxed Cu2RuBr crystal. Source: Alexandria, functional PBE.

## Properties
* offset from the most stable computed form: 0.229 eV per atom
* E_form (uncorrected): 264 kJ/mol of formula units
* symmetry: C2/m (12)
* total magnetization: 0.0 μB per formula unit
* energy: -4.102 eV/atom

abc: 4.925 4.925 4.515
angles: 76.85 76.85 34.81
Fractional positions:
Br: 0.250 0.250 0.250
Cu: 0.009 0.009 0.972
Cu: 0.491 0.491 0.528
Ru: 0.750 0.750 0.750


[12]
A relaxed CdInAg2Te4 crystal. Source: Alexandria, functional PBE.

## Properties
* E_form (uncorrected): -182 kJ/mol of formula units
* symmetry: I-4 (82)
* total magnetization: 0.0 μB per formula unit
* energy: -2.976 eV/atom

abc: 6.504 6.504 7.960
angles: 114.13 114.13 89.99
Fractional positions:
Cd: 0.986 0.486 0.972
In: 0.736 0.736 0.472
Ag: 0.486 0.986 0.972
Ag: 0.236 0.236 0.472
Te: 0.602 0.612 0.722
Te: 0.860 0.352 0.222
Te: 0.362 0.870 0.222
Te: 0.120 0.110 0.721


Question: Number 12 is which compound?
Answer: CdInAg2Te4


Repeat the twelfth record exactly.
A relaxed CdInAg2Te4 crystal. Source: Alexandria, functional PBE.

## Properties
* E_form (uncorrected): -182 kJ/mol of formula units
* symmetry: I-4 (82)
* total magnetization: 0.0 μB per formula unit
* energy: -2.976 eV/atom

abc: 6.504 6.504 7.960
angles: 114.13 114.13 89.99
Fractional positions:
Cd: 0.986 0.486 0.972
In: 0.736 0.736 0.472
Ag: 0.486 0.986 0.972
Ag: 0.236 0.236 0.472
Te: 0.602 0.612 0.722
Te: 0.860 0.352 0.222
Te: 0.362 0.870 0.222
Te: 0.120 0.110 0.721


Question: What is the energy in the seventh record?
Answer: -6.268 eV/atom


Question: Look up the total magnetization of the ninth one.
Answer: 2.3 μB per formula unit